Pm3Sm3Ni4: optimized geometry, GGA-PBE.

The space group is Amm2 (No. 38) and the conventional cell measures 3.902, 10.957 and 10.915 Å, with angles of 90.00, 90.00 and 90.00 degrees. The inequivalent atoms are Pm at (0.000, 0.000, 0.000), Pm at (0.000, 0.166, 0.334), Sm at (0.000, 0.000, 0.668), Sm at (0.500, 0.250, 0.084), Ni at (0.500, 0.000, 0.216), Ni at (0.500, 0.000, 0.454) and Ni at (0.500, 0.118, 0.833).

The calculated formation energy is -0.2415 eV per atom. The value obtained for the calculated density is 7.98 g/cm3. As for the electronic total energy: -5.395 eV per atom. For the size of the total moment, the calculation gives 0.00 μB/atom.

---

Sr3EuRh: optimized geometry, GGA-PBE.

The space group is Pm-3m (No. 221) and the conventional cell measures 5.947, 5.947 and 5.947 Å, with angles of 90.00, 90.00 and 90.00 degrees. The inequivalent atoms are Sr at (0.000, 0.000, 0.500), Eu at (0.500, 0.500, 0.500) and Rh at (0.000, 0.000, 0.000).

The calculated formation energy is -0.1085 eV per atom. The value obtained for the calculated density is 4.09 g/cm3. As for the electronic total energy: -4.643 eV per atom. For the size of the total moment, the calculation gives 1.54 μB/atom.

---

Er6Te2AsSe3: optimized geometry, GGA-PBE.

The space group is C2/m (No. 12) and the conventional cell measures 7.210, 12.521 and 7.123 Å, with angles of 90.00, 109.65 and 90.00 degrees. The inequivalent atoms are Er at (0.211, 0.000, 0.224), Er at (0.239, 0.152, 0.763), Te at (0.000, 0.337, 0.500), As at (0.000, 0.000, 0.500), Se at (0.000, 0.180, 0.000) and Se at (0.000, 0.500, 0.000).

The value obtained for the calculated density is 8.61 g/cm3. The formation energy (no corrections) comes out at -1.53 eV per atom. As for the electronic total energy: -5.595 eV per atom. For the size of the total moment, the calculation gives 0.00 μB/atom.

---

Cr2InRh2: optimized geometry, GGA-PBE.

The space group is P4/mbm (No. 127) and the conventional cell measures 7.351, 7.351 and 2.837 Å, with angles of 90.00, 90.00 and 90.00 degrees. The inequivalent atoms are Cr at (0.164, 0.336, 0.000), In at (0.000, 0.000, 0.500) and Rh at (0.131, 0.631, 0.500).

The calculated formation energy is 0.0954 eV per atom. The value obtained for the calculated density is 9.20 g/cm3. The energy above the most stable polymorph in this dataset is 0.009 eV per atom. As for the electronic total energy: -7.242 eV per atom. For the size of the total moment, the calculation gives 0.77 μB/atom.

---

YHfSc2: optimized geometry, GGA-PBE.

The space group is I-42d (No. 122) and the conventional cell measures 4.424, 4.424 and 21.624 Å, with angles of 90.00, 90.00 and 90.00 degrees. The inequivalent atoms are Y at (0.000, 0.000, 0.000), Hf at (0.000, 0.000, 0.500) and Sc at (0.236, 0.250, 0.625).

The calculated formation energy is 0.5437 eV per atom. The value obtained for the calculated density is 5.61 g/cm3. The energy above the most stable polymorph in this dataset is 0.494 eV per atom. As for the electronic total energy: -6.726 eV per atom. For the size of the total moment, the calculation gives 0.00 μB/atom.

---

KReP2W: optimized geometry, GGA-PBE.

The space group is P4/mmm (No. 123) and the conventional cell measures 4.617, 4.617 and 5.860 Å, with angles of 90.00, 90.00 and 90.00 degrees. The inequivalent atoms are K at (0.000, 0.000, 0.000), Re at (0.000, 0.000, 0.500), P at (0.000, 0.500, 0.500) and W at (0.500, 0.500, 0.000).

The calculated formation energy is 1.7506 eV per atom. The value obtained for the calculated density is 6.26 g/cm3. As for the electronic total energy: -5.713 eV per atom. For the size of the total moment, the calculation gives 0.93 μB/atom.

---

> Look up the calculated density of the fifth one.

5.61 g/cm3